[1]
Entry from the Alexandria database: a relaxed Nb2Cr2Se7 crystal (PBE-GGA).

SG: No. 12

Lattice parameters (Å, degrees): 6.8543 6.6353 6.6353 111.62 93.24 93.24
Closest atoms and distances in Å follow each position.
Fractional coordinates of all 11 atoms:
Nb1 0.5000 0.3572 0.6428  6 Se 2.55-2.79
Nb2 0.5000 0.6428 0.3572  6 Se 2.55-2.79
Cr1 0.1558 0.7392 0.7392  3 Se 2.31-2.43
Cr2 0.8442 0.2608 0.2608  3 Se 2.31-2.43
Se1 0.2869 0.5463 0.9583  1 Cr 2.43, 1 Nb 2.59
Se2 0.7131 0.0417 0.4537  1 Cr 2.43, 1 Nb 2.59
Se3 0.7131 0.4537 0.0417  1 Cr 2.43, 1 Nb 2.59
Se4 0.2869 0.9583 0.5463  1 Cr 2.43, 1 Nb 2.59
Se5 0.2155 0.4016 0.4016  2 Nb 2.55, 2 Cr 2.59-2.65
Se6 0.0000 0.0000 0.0000  2 Cr 2.31
Se7 0.7845 0.5984 0.5984  2 Nb 2.55, 2 Cr 2.59-2.65


[2]
Entry from the Alexandria database: a relaxed NbCr2Se6 crystal (PBE-GGA).

Energy above the lowest structure with this stoichiometry: 0.0000 eV per atom
SG: No. 12

Lattice parameters (Å, degrees): 3.4949 8.1212 8.4375 112.61 101.95 90.00
Closest atoms and distances in Å follow each position.
Fractional coordinates of all 9 atoms:
Nb1 0.5000 0.0000 0.0000  6 Se 2.59-2.62
Cr1 0.8389 0.6789 0.6778  6 Se 2.49-2.52
Cr2 0.1611 0.3211 0.3222  6 Se 2.49-2.52
Se1 0.3299 0.8914 0.6598  2 Cr 2.50, 1 Nb 2.59
Se2 0.9990 0.2394 0.9980  1 Cr 2.49, 2 Nb 2.62
Se3 0.6732 0.5510 0.3463  3 Cr 2.51-2.52
Se4 0.0010 0.7606 0.0020  1 Cr 2.49, 2 Nb 2.62
Se5 0.6701 0.1086 0.3402  2 Cr 2.50, 1 Nb 2.59
Se6 0.3268 0.4490 0.6537  3 Cr 2.51-2.52


[3]
Entry from the Alexandria database: a relaxed Nb2CrSe6 crystal (PBE-GGA).

SG: No. 14

Lattice parameters (Å, degrees): 6.1774 6.3762 9.9210 90.00 91.42 90.00
Closest atoms and distances in Å follow each position.
Fractional coordinates of all 18 atoms:
Nb1 0.9323 0.3651 0.7534  6 Se 2.54-2.69
Nb2 0.5677 0.8651 0.7466  6 Se 2.54-2.69
Nb3 0.4323 0.1349 0.2534  6 Se 2.54-2.69
Nb4 0.0677 0.6349 0.2466  6 Se 2.54-2.69
Cr1 0.5000 0.5000 0.0000  6 Se 2.50-2.55
Cr2 0.0000 0.0000 0.5000  6 Se 2.50-2.55
Se1 0.8276 0.9563 0.2659  2 Nb 2.54-2.69, 1 Cr 2.55
Se2 0.8183 0.6673 0.5819  1 Cr 2.54, 2 Nb 2.60-2.65
Se3 0.8341 0.6772 0.9197  1 Cr 2.50, 2 Nb 2.64-2.66
Se4 0.6659 0.1772 0.5803  1 Cr 2.50, 2 Nb 2.64-2.66
Se5 0.6817 0.1673 0.9181  1 Cr 2.54, 2 Nb 2.60-2.65
Se6 0.6724 0.4563 0.2341  2 Nb 2.54-2.69, 1 Cr 2.55
Se7 0.1724 0.0437 0.7341  2 Nb 2.54-2.69, 1 Cr 2.55
Se8 0.1817 0.3327 0.4181  1 Cr 2.54, 2 Nb 2.60-2.65
Se9 0.1659 0.3228 0.0803  1 Cr 2.50, 2 Nb 2.64-2.66
Se10 0.3341 0.8228 0.4197  1 Cr 2.50, 2 Nb 2.64-2.66
Se11 0.3183 0.8327 0.0819  1 Cr 2.54, 2 Nb 2.60-2.65
Se12 0.3276 0.5437 0.7659  2 Nb 2.54-2.69, 1 Cr 2.55


[4]
Entry from the Alexandria database: a relaxed Nb2CrSe5 crystal (PBE-GGA).

Energy above the lowest structure with this stoichiometry: 0.0076 eV per atom
SG: No. 69

Lattice parameters (Å, degrees): 4.6283 7.0732 7.1827 83.95 71.21 70.90
Closest atoms and distances in Å follow each position.
Fractional coordinates of all 8 atoms:
Nb1 0.8113 0.5000 0.8774  7 Se 2.57-2.85, 2 Nb 2.85
Nb2 0.1887 0.5000 0.1226  7 Se 2.57-2.85, 2 Nb 2.85
Cr1 0.5000 0.5000 0.5000  2 Se 2.31
Se1 0.2222 0.7404 0.8152  3 Nb 2.64-2.85, 1 Cr 2.68
Se2 0.5374 0.7404 0.1848  3 Nb 2.64-2.85, 1 Cr 2.68
Se3 0.0000 0.5000 0.5000  2 Cr 2.31, 2 Nb 2.57
Se4 0.7778 0.2596 0.1848  3 Nb 2.64-2.85, 1 Cr 2.68
Se5 0.4626 0.2596 0.8152  3 Nb 2.64-2.85, 1 Cr 2.68


[5]
Entry from the Alexandria database: a relaxed NbCrSe6 crystal (PBE-GGA).

SG: No. 2

Lattice parameters (Å, degrees): 6.2248 6.3807 7.3032 55.57 54.85 58.40
Closest atoms and distances in Å follow each position.
Fractional coordinates of all 8 atoms:
Nb1 0.5000 0.5000 0.5000  6 Se 2.49-2.67
Cr1 0.0000 0.0000 0.0000  6 Se 2.46-2.55
Se1 0.0248 0.4594 0.7638  1 Cr 2.46, 1 Nb 2.49
Se2 0.6884 0.0915 0.8264  1 Se 2.44, 1 Cr 2.55, 1 Nb 2.62
Se3 0.5859 0.1814 0.3221  1 Se 2.42, 1 Cr 2.55, 1 Nb 2.67
Se4 0.3116 0.9085 0.1736  1 Se 2.44, 1 Cr 2.55, 1 Nb 2.62
Se5 0.9752 0.5406 0.2362  1 Cr 2.46, 1 Nb 2.49
Se6 0.4141 0.8186 0.6779  1 Se 2.42, 1 Cr 2.55, 1 Nb 2.67


[6]
Entry from the Alexandria database: a relaxed NbCr3Se crystal (PBE-GGA).

Energy above the lowest structure with this stoichiometry: 0.5924 eV per atom
SG: No. 221

Lattice parameters (Å, degrees): 4.7766 4.7766 4.7766 90.00 90.00 90.00
Closest atoms and distances in Å follow each position.
Fractional coordinates of all 5 atoms:
Cr1 0.0000 0.5000 0.0000  2 Nb 2.39
Cr2 0.0000 0.0000 0.5000  2 Nb 2.39
Cr3 0.5000 0.0000 0.0000  2 Nb 2.39
Nb1 0.0000 0.0000 0.0000  6 Cr 2.39
Se1 0.5000 0.5000 0.5000  12 Cr 3.38


[7]
Entry from the Alexandria database: a relaxed Nb2CrSe5 crystal (PBE-GGA).

Energy above the lowest structure with this stoichiometry: 0.0000 eV per atom
SG: No. 63

Lattice parameters (Å, degrees): 5.0746 6.8291 11.5840 90.00 90.00 111.81
Closest atoms and distances in Å follow each position.
Fractional coordinates of all 16 atoms:
Nb1 0.8227 0.6453 0.4664  5 Se 2.44-2.72
Nb2 0.8227 0.6453 0.0336  5 Se 2.44-2.72
Nb3 0.1773 0.3547 0.5336  5 Se 2.44-2.72
Nb4 0.1773 0.3547 0.9664  5 Se 2.44-2.72
Cr1 0.8025 0.6050 0.7500  6 Se 2.47-2.59
Cr2 0.1975 0.3950 0.2500  6 Se 2.47-2.59
Se1 0.9558 0.9115 0.8816  1 Nb 2.44, 1 Cr 2.47
Se2 0.9558 0.9115 0.6184  1 Nb 2.44, 1 Cr 2.47
Se3 0.3427 0.6854 0.4045  1 Cr 2.57, 3 Nb 2.58-2.65
Se4 0.3427 0.6854 0.0955  1 Cr 2.57, 3 Nb 2.58-2.65
Se5 0.7385 0.4769 0.2500  2 Cr 2.59, 2 Nb 2.72
Se6 0.2615 0.5231 0.7500  2 Cr 2.59, 2 Nb 2.72
Se7 0.6573 0.3146 0.5955  1 Cr 2.57, 3 Nb 2.58-2.65
Se8 0.6573 0.3146 0.9045  1 Cr 2.57, 3 Nb 2.58-2.65
Se9 0.0442 0.0885 0.1184  1 Nb 2.44, 1 Cr 2.47
Se10 0.0442 0.0885 0.3816  1 Nb 2.44, 1 Cr 2.47


[8]
Entry from the Alexandria database: a relaxed NbCrSe2 crystal (PBE-GGA).

Energy above the lowest structure with this stoichiometry: 0.0000 eV per atom
SG: No. 225

Lattice parameters (Å, degrees): 4.5683 4.5683 4.5683 60.00 60.00 60.00
Closest atoms and distances in Å follow each position.
Fractional coordinates of all 4 atoms:
Cr1 0.0000 0.0000 0.0000  8 Se 2.80
Nb1 0.5000 0.5000 0.5000  8 Se 2.80
Se1 0.2500 0.2500 0.2500  4 Nb 2.80, 4 Cr 2.80
Se2 0.7500 0.7500 0.7500  4 Nb 2.80, 4 Cr 2.80


[9]
Entry from the Alexandria database: a relaxed NbCrSe2 crystal (PBE-GGA).

Energy above the lowest structure with this stoichiometry: 0.3173 eV per atom
SG: No. 166

Lattice parameters (Å, degrees): 8.5997 8.5997 8.5997 21.52 21.52 21.52
Closest atoms and distances in Å follow each position.
Fractional coordinates of all 4 atoms:
Cr1 0.0000 0.0000 0.0000  2 Se 2.35
Nb1 0.5000 0.5000 0.5000  6 Se 2.62
Se1 0.9068 0.9068 0.9068  1 Cr 2.35, 3 Nb 2.62
Se2 0.0932 0.0932 0.0932  1 Cr 2.35, 3 Nb 2.62


[10]
Entry from the Alexandria database: a relaxed NbTl2Cr2Se6 crystal (PBE-GGA).

SG: No. 12

Lattice parameters (Å, degrees): 6.3492 6.3492 8.2067 96.98 96.98 120.01
Closest atoms and distances in Å follow each position.
Fractional coordinates of all 11 atoms:
Nb1 0.0000 0.0000 0.5000  6 Se 2.64
Tl1 0.8392 0.1608 0.0000  6 Se 3.26-3.30, 1 Tl 3.54
Tl2 0.1608 0.8392 0.0000  6 Se 3.26-3.30, 1 Tl 3.54
Cr1 0.3312 0.6688 0.5000  6 Se 2.55-2.56
Cr2 0.6688 0.3312 0.5000  6 Se 2.55-2.56
Se1 0.7125 0.7125 0.6847  2 Cr 2.56, 1 Nb 2.64
Se2 0.0600 0.4029 0.6862  2 Cr 2.55, 1 Nb 2.64
Se3 0.2875 0.2875 0.3153  2 Cr 2.56, 1 Nb 2.64
Se4 0.4029 0.0600 0.6862  2 Cr 2.55, 1 Nb 2.64
Se5 0.9400 0.5971 0.3138  2 Cr 2.55, 1 Nb 2.64
Se6 0.5971 0.9400 0.3138  2 Cr 2.55, 1 Nb 2.64


Number 1: DOS(E_F) 0.389 states/eV/atom, formation energy (no corrections) -432.0 kJ/mol of formula units. Number 2: DOS(E_F) 0.513 states/eV/atom, formation energy (no corrections) -515.6 kJ/mol of formula units. Number 3: DOS(E_F) 0.505 states/eV/atom, formation energy (no corrections) -450.7 kJ/mol of formula units. Number 4: DOS(E_F) 0.437 states/eV/atom, formation energy (no corrections) -418.9 kJ/mol of formula units. Number 5: DOS(E_F) 0.517 states/eV/atom, formation energy (no corrections) -234.4 kJ/mol of formula units. Number 6: DOS(E_F) 0.873 states/eV/atom, formation energy (no corrections) 716.1 kJ/mol of formula units. Number 7: DOS(E_F) 0.386 states/eV/atom, formation energy (no corrections) -424.8 kJ/mol of formula units. Number 8: DOS(E_F) 0.249 states/eV/atom, formation energy (no corrections) -89.6 kJ/mol of formula units. Number 9: DOS(E_F) 1.209 states/eV/atom, formation energy (no corrections) 32.9 kJ/mol of formula units. Number 10: DOS(E_F) 0.394 states/eV/atom, formation energy (no corrections) -568.3 kJ/mol of formula units.